1.
! Tb3Pr2NdY6 | Alexandria | PBE | optimized geometry; values from VASP
&SYSTEM
  ibrav = 0, nat = 12, ntyp = 4
/
ATOMIC_SPECIES
Tb 158.93 Tb.upf
Pr 140.91 Pr.upf
Nd 144.24 Nd.upf
Y 88.91 Y.upf
ATOMIC_POSITIONS crystal
Tb 0.0000 0.0000 0.0000
Tb 0.3333 0.6667 0.0000
Tb 0.6667 0.3333 0.0000
Pr 0.1666 0.8334 0.5000
Pr 0.8334 0.1666 0.5000
Nd 0.5000 0.5000 0.5000
Y 0.0821 0.4153 0.2467
Y 0.2515 0.2515 0.7534
Y 0.4153 0.0821 0.2467
Y 0.5847 0.9179 0.7533
Y 0.7485 0.7485 0.2466
Y 0.9179 0.5847 0.7533
CELL_PARAMETERS angstrom
3.1251 -5.4100 0.0000
3.1251 5.4100 0.0000
-2.0741 0.0000 11.6952
! Formation energy from the elements (eV/atom): 0.02
! M_tot (μB/f.u.): 0.00

---

2.
! TbPr2Nd5Y | Alexandria | PBE | optimized geometry; values from VASP
&SYSTEM
  ibrav = 0, nat = 18, ntyp = 4
/
ATOMIC_SPECIES
Tb 158.93 Tb.upf
Pr 140.91 Pr.upf
Nd 144.24 Nd.upf
Y 88.91 Y.upf
ATOMIC_POSITIONS crystal
Tb 0.2500 0.2500 0.0000
Tb 0.7500 0.7500 0.0000
Pr 0.1211 0.6211 0.7421
Pr 0.3789 0.1211 0.5000
Pr 0.6211 0.8789 0.5000
Pr 0.8789 0.3789 0.2579
Nd 0.0000 0.0000 0.0000
Nd 0.0745 0.1393 0.5000
Nd 0.1393 0.6393 0.0648
Nd 0.3607 0.4255 0.5000
Nd 0.4255 0.9255 0.0648
Nd 0.5000 0.5000 0.0000
Nd 0.5745 0.0745 0.9352
Nd 0.6393 0.5745 0.5000
Nd 0.8607 0.3607 0.9352
Nd 0.9255 0.8607 0.5000
Y 0.2500 0.7500 0.5000
Y 0.7500 0.2500 0.5000
CELL_PARAMETERS angstrom
-4.3627 4.3627 8.3381
4.3627 -4.3627 8.3381
4.3627 4.3627 -8.3381
! Formation energy from the elements (eV/atom): 0.27
! M_tot (μB/f.u.): 0.00

---

- What is the M_tot in the second record?
  0.00 μB/f.u.

---

- Which value of formation energy from the elements does entry 1 give?
  0.02 eV/atom

---

Please write out number 2 again, unchanged.
! TbPr2Nd5Y | Alexandria | PBE | optimized geometry; values from VASP
&SYSTEM
  ibrav = 0, nat = 18, ntyp = 4
/
ATOMIC_SPECIES
Tb 158.93 Tb.upf
Pr 140.91 Pr.upf
Nd 144.24 Nd.upf
Y 88.91 Y.upf
ATOMIC_POSITIONS crystal
Tb 0.2500 0.2500 0.0000
Tb 0.7500 0.7500 0.0000
Pr 0.1211 0.6211 0.7421
Pr 0.3789 0.1211 0.5000
Pr 0.6211 0.8789 0.5000
Pr 0.8789 0.3789 0.2579
Nd 0.0000 0.0000 0.0000
Nd 0.0745 0.1393 0.5000
Nd 0.1393 0.6393 0.0648
Nd 0.3607 0.4255 0.5000
Nd 0.4255 0.9255 0.0648
Nd 0.5000 0.5000 0.0000
Nd 0.5745 0.0745 0.9352
Nd 0.6393 0.5745 0.5000
Nd 0.8607 0.3607 0.9352
Nd 0.9255 0.8607 0.5000
Y 0.2500 0.7500 0.5000
Y 0.7500 0.2500 0.5000
CELL_PARAMETERS angstrom
-4.3627 4.3627 8.3381
4.3627 -4.3627 8.3381
4.3627 4.3627 -8.3381
! Formation energy from the elements (eV/atom): 0.27
! M_tot (μB/f.u.): 0.00